Entry from the Alexandria database: crystalline La3P6Pd20 at its relaxed geometry (GGA-PBE).

Values from the calculation:
As for the energy: -5.908 eV/atom. Its spin magnetization is 0.0 Bohr magnetons per cell. As for the formation energy: -698 meV per atom.

Unit cell a=12.4164 b=12.4164 c=12.4164 alpha=90.00 beta=90.00 gamma=90.00
Space group Fm-3m (No. 225)
Symmetry-distinct sites (fractional):
La 0.0000 0.0000 0.0000 [4 per cell]
La 0.2500 0.2500 0.2500 [8 per cell]
P 0.0000 0.0000 0.2633 [24 per cell]
Pd 0.0000 0.1734 0.1734 [48 per cell]
Pd 0.1138 0.1138 0.3862 [32 per cell]